Computed, not measured: ZnPtRh after structural relaxation at the PBE level of DFT.

Its theoretical density is 13.86 g cm⁻³. The value obtained for the energy above the lowest structure with this stoichiometry is 52 meV/atom. As for the crystal system: tetragonal. As for the calculated volume: 43.5 Å³ per cell.

Lattice parameters (Å, degrees): 5.9509 5.9509 5.9509 152.94 152.94 38.64
Fractional positions:
Zn 0.0000 0.0000 0.0000
Pt 0.3350 0.3350 0.0000
Rh 0.6596 0.6596 0.0000